[1]
VASP calculation (PBE-GGA) on a geometry-optimized Ba5Sn9Bi6 structure.

Unit cell a=7.4341 b=7.4341 c=28.0182 alpha=90.00 beta=90.00 gamma=120.00
Fractional coordinates of all 40 atoms:
Ba  0.0000  0.0000  0.1583
Ba  0.0000  0.0000  0.3417
Ba  0.0000  0.0000  0.6583
Ba  0.0000  0.0000  0.8417
Ba  0.3333  0.6667  0.0561
Ba  0.3333  0.6667  0.2500
Ba  0.3333  0.6667  0.4439
Ba  0.6667  0.3333  0.5561
Ba  0.6667  0.3333  0.7500
Ba  0.6667  0.3333  0.9439
Sn  0.0587  0.5293  0.6500
Sn  0.0587  0.5293  0.8500
Sn  0.1957  0.3914  0.7500
Sn  0.1957  0.8043  0.7500
Sn  0.3914  0.1957  0.2500
Sn  0.4707  0.5293  0.6500
Sn  0.4707  0.5293  0.8500
Sn  0.4707  0.9413  0.6500
Sn  0.4707  0.9413  0.8500
Sn  0.5293  0.0587  0.1500
Sn  0.5293  0.0587  0.3500
Sn  0.5293  0.4707  0.1500
Sn  0.5293  0.4707  0.3500
Sn  0.6086  0.8043  0.7500
Sn  0.8043  0.1957  0.2500
Sn  0.8043  0.6086  0.2500
Sn  0.9413  0.4707  0.1500
Sn  0.9413  0.4707  0.3500
Bi  0.1650  0.3301  0.5514
Bi  0.1650  0.3301  0.9486
Bi  0.1650  0.8350  0.5514
Bi  0.1650  0.8350  0.9486
Bi  0.3301  0.1650  0.0514
Bi  0.3301  0.1650  0.4486
Bi  0.6699  0.8350  0.5514
Bi  0.6699  0.8350  0.9486
Bi  0.8350  0.1650  0.0514
Bi  0.8350  0.1650  0.4486
Bi  0.8350  0.6699  0.0514
Bi  0.8350  0.6699  0.4486

Values from the calculation:
Energy of formation = -0.48 eV/atom
Electronic total energy = -157.10 eV per cell
Space-group type = P6_3/mmc
Density = 7.45 g/cm³
Spin magnetization = 0.0 Bohr magnetons per cell

***

[2]
VASP calculation (PBE-GGA) on a geometry-optimized Sc2CrTeRh structure.

Unit cell a=4.9558 b=4.9558 c=5.0964 alpha=90.00 beta=90.00 gamma=90.00
Fractional coordinates of all 5 atoms:
Sc  0.0000  0.5000  0.0000
Sc  0.5000  0.0000  0.0000
Cr  0.0000  0.0000  0.5000
Te  0.5000  0.5000  0.5000
Rh  0.5000  0.5000  0.0000

Values from the calculation:
Electronic total energy = -31.95 eV per cell
Space-group type = P4/mmm
Density = 4.94 g/cm³
Spin magnetization = 4.7 Bohr magnetons per cell

***

[3]
VASP calculation (PBE-GGA) on a geometry-optimized BaNi2Sb structure.

Unit cell a=5.1218 b=5.1218 c=5.1218 alpha=127.19 beta=111.03 gamma=92.10
Fractional coordinates of all 4 atoms:
Ba  0.0000  0.0000  0.0000
Ni  0.3303  0.8303  0.5000
Ni  0.6697  0.1697  0.5000
Sb  0.5000  0.5000  0.0000

Values from the calculation:
Electronic total energy = -17.60 eV per cell
Space-group type = Immm
Density = 6.66 g/cm³
Spin magnetization = 0.0 Bohr magnetons per cell

***

[4]
VASP calculation (PBE-GGA) on a geometry-optimized Ca7Ac structure.

Unit cell a=9.7070 b=9.7070 c=9.7070 alpha=157.39 beta=102.04 gamma=82.44
Fractional coordinates of all 8 atoms:
Ca  0.0000  0.0000  0.0000
Ca  0.1097  0.3720  0.7377
Ca  0.2552  0.2552  0.0000
Ca  0.3657  0.6280  0.7377
Ca  0.6343  0.3720  0.2623
Ca  0.7448  0.7448  0.0000
Ca  0.8903  0.6280  0.2623
Ac  0.5000  0.0000  0.5000

Values from the calculation:
Energy of formation = 0.04 eV/atom
Electronic total energy = -17.84 eV per cell
Space-group type = Immm
Density = 2.48 g/cm³
Spin magnetization = 0.0 Bohr magnetons per cell